Entry 1:
Below is TeOs2Pb at its PBEsol-relaxed geometry, with properties calculated at the SCAN level.

Structure (POSCAR):
```
TeOs2Pb
1.0
-1.243 -2.662 1.452
4.056 -2.247 -0.648
1.523 1.551 4.146
Os Te Pb
2 1 1
Direct
0.000 0.500 0.000
0.000 0.000 0.500
0.500 0.000 0.000
0.500 0.500 0.500
```

Calculated values
Formation energy without anion corrections, eV per atom: 1.12
Symmetry: P4/mmm
E above lowest polymorph, meV per atom: 125.9

Entry 2:
Below is NiAgB3 at its PBEsol-relaxed geometry, with properties calculated at the SCAN level.

Structure (POSCAR):
```
NiAgB3
1.0
3.796 0.000 0.000
0.000 3.796 0.000
0.000 0.000 3.796
B Ni Ag
3 1 1
Direct
0.500 0.000 0.000
0.000 0.500 0.000
0.000 0.000 0.500
0.000 0.000 0.000
0.500 0.500 0.500
```

Calculated values
Formation energy, eV per atom: 1.06
Symmetry: Pm-3m

Entry 3:
Below is CuTeMoI2 at its PBEsol-relaxed geometry, with properties calculated at the SCAN level.

Structure (POSCAR):
```
CuTeMoI2
1.0
-2.562 -1.109 4.302
0.423 -5.361 -1.131
4.741 -0.210 2.769
Te Mo I Cu
1 1 2 1
Direct
0.500 0.000 0.000
0.000 0.000 0.000
0.000 0.500 0.000
0.000 0.000 0.500
0.500 0.500 0.500
```

Calculated values
Formation energy without anion corrections, eV per atom: 0.78
Symmetry: P4/mmm
E above lowest polymorph, meV per atom: 0.0

Entry 4:
Below is YTcPt2 at its PBEsol-relaxed geometry, with properties calculated at the SCAN level.

Structure (POSCAR):
```
YTcPt2
1.0
3.382 0.000 0.000
0.000 3.382 0.000
0.000 0.000 6.100
Tc Y Pt
1 1 2
Direct
0.000 0.000 0.452
0.500 0.500 0.761
0.000 0.000 0.017
0.500 0.500 0.269
```

Calculated values
Formation energy, eV per atom: -0.37
Symmetry: P4mm
E above lowest polymorph, meV per atom: 91.6

Entry 5:
Below is BeAl2Cu at its PBEsol-relaxed geometry, with properties calculated at the SCAN level.

Structure (POSCAR):
```
BeAl2Cu
1.0
2.753 0.000 0.000
1.376 2.384 0.000
1.376 0.795 7.938
Al Be Cu
2 1 1
Direct
0.249 0.249 0.253
0.751 0.751 0.747
0.500 0.500 0.500
0.000 0.000 0.000
```

Calculated values
Formation energy, eV per atom: 0.03
Symmetry: R-3m

Entry 6:
Below is BeSiPt2 at its PBEsol-relaxed geometry, with properties calculated at the SCAN level.

Structure (POSCAR):
```
BeSiPt2
1.0
2.833 0.000 0.000
1.417 2.453 0.000
1.417 0.818 7.512
Pt Si Be
2 1 1
Direct
0.747 0.747 0.758
0.253 0.253 0.242
0.500 0.500 0.500
0.000 0.000 0.000
```

Calculated values
Formation energy without anion corrections, eV per atom: -0.50
Symmetry: R-3m

Entry 7:
Below is Mn2BeP at its PBEsol-relaxed geometry, with properties calculated at the SCAN level.

Structure (POSCAR):
```
Mn2BeP
1.0
3.755 0.000 0.000
1.878 3.252 0.000
1.878 1.084 3.066
Mn Be P
2 1 1
Direct
0.750 0.750 0.750
0.250 0.250 0.250
0.500 0.500 0.500
0.000 0.000 0.000
```

Calculated values
Formation energy, eV per atom: -0.31
Symmetry: Fm-3m
E above lowest polymorph, meV per atom: 0.0

Entry 8:
Below is NaTcOsS2 at its PBEsol-relaxed geometry, with properties calculated at the SCAN level.

Structure (POSCAR):
```
NaTcOsS2
1.0
4.483 0.000 0.000
0.000 4.483 0.000
0.000 0.000 5.151
S Os Tc Na
2 1 1 1
Direct
0.000 0.500 0.000
0.500 0.000 0.000
0.000 0.000 0.000
0.500 0.500 0.500
0.000 0.000 0.500
```

Calculated values
Formation energy without anion corrections, eV per atom: 1.09
Symmetry: P4/mmm

Entry 9:
Below is YP3Pb at its PBEsol-relaxed geometry, with properties calculated at the SCAN level.

Structure (POSCAR):
```
YP3Pb
1.0
5.020 0.000 0.000
0.000 5.020 0.000
0.000 0.000 5.020
Y P Pb
1 3 1
Direct
0.500 0.500 0.500
0.500 0.000 0.000
0.000 0.500 0.000
0.000 0.000 0.500
0.000 0.000 0.000
```

Calculated values
Formation energy, eV per atom: 0.67
Symmetry: Pm-3m

Entry 10:
Below is BaLiHfSn2 at its PBEsol-relaxed geometry, with properties calculated at the SCAN level.

Structure (POSCAR):
```
BaLiHfSn2
1.0
-4.305 0.060 -2.645
-2.587 -0.981 4.190
-0.464 4.924 0.867
Sn Hf Ba Li
2 1 1 1
Direct
0.000 0.500 0.000
0.000 0.000 0.500
0.500 0.000 0.000
0.500 0.500 0.500
0.000 0.000 0.000
```

Calculated values
Formation energy, eV per atom: 0.20
Symmetry: P4/mmm

Entry 11:
Below is HfGaH2Pt at its PBEsol-relaxed geometry, with properties calculated at the SCAN level.

Structure (POSCAR):
```
HfGaH2Pt
1.0
3.657 0.000 0.000
0.000 3.657 0.000
0.000 0.000 5.322
Ga Pt Hf H
1 1 1 2
Direct
0.500 0.500 0.500
0.000 0.000 0.500
0.000 0.000 0.000
0.500 0.000 0.000
0.000 0.500 0.000
```

Calculated values
Uncorrected energy, eV/cell: -157.23
Symmetry: P4/mmm

Entry 12:
Below is ScBeIr at its PBEsol-relaxed geometry, with properties calculated at the SCAN level.

Structure (POSCAR):
```
ScBeIr
1.0
3.978 0.000 0.000
1.989 3.445 0.000
1.989 1.148 3.248
Be Ir Sc
1 1 1
Direct
0.250 0.250 0.250
0.000 0.000 0.000
0.500 0.500 0.500
```

Calculated values
Formation energy, eV per atom: -0.51
Symmetry: F-43m

Entry 13:
Below is MoPbCl at its PBEsol-relaxed geometry, with properties calculated at the SCAN level.

Structure (POSCAR):
```
MoPbCl
1.0
-2.661 -0.973 1.394
1.369 -1.789 -2.213
4.069 -3.484 5.335
Pb Mo Cl
1 1 1
Direct
0.667 0.333 0.383
0.333 0.667 0.707
0.000 0.000 0.911
```

Calculated values
Formation energy without anion corrections, eV per atom: 0.04
Symmetry: P3m1
E above lowest polymorph, meV per atom: 0.0

Entry 14:
Below is LaOF at its PBEsol-relaxed geometry, with properties calculated at the SCAN level.

Structure (POSCAR):
```
LaOF
1.0
-0.170 3.197 2.457
1.189 -2.310 3.088
5.510 1.221 -1.207
O La F
2 2 2
Direct
0.500 0.500 0.500
0.000 0.000 0.500
0.000 0.500 0.284
0.500 0.000 0.716
0.500 0.500 0.000
0.000 0.000 0.000
```

Calculated values
Formation energy without anion corrections, eV per atom: -4.19
Symmetry: P4/nmm

Entry 15:
Below is TlCd2Au at its PBEsol-relaxed geometry, with properties calculated at the SCAN level.

Structure (POSCAR):
```
TlCd2Au
1.0
-0.170 1.361 2.764
-3.465 -1.235 0.395
2.636 -6.340 3.285
Cd Au Tl
2 1 1
Direct
0.000 0.000 0.290
0.000 0.000 0.710
0.500 0.500 0.500
0.500 0.500 0.000
```

Calculated values
Formation energy, eV per atom: -0.07
Symmetry: Pmmm
E above lowest polymorph, meV per atom: 0.0

Entry 16:
Below is Ba2InP at its PBEsol-relaxed geometry, with properties calculated at the SCAN level.

Structure (POSCAR):
```
Ba2InP
1.0
4.473 0.000 0.000
2.237 3.874 0.000
2.237 1.291 9.048
P Ba In
1 2 1
Direct
0.500 0.500 0.500
0.769 0.769 0.694
0.231 0.231 0.306
0.000 0.000 0.000
```

Calculated values
Formation energy, eV per atom: -0.68
Symmetry: R-3m
E above lowest polymorph, meV per atom: 0.0

Entry 17:
Below is Na2LiRhF at its PBEsol-relaxed geometry, with properties calculated at the SCAN level.

Structure (POSCAR):
```
Na2LiRhF
1.0
4.585 0.000 0.000
0.000 5.480 0.000
0.000 0.000 5.480
Li F Rh Na
1 1 1 2
Direct
0.500 0.000 0.000
0.500 0.500 0.500
0.000 0.000 0.000
0.000 0.500 0.000
0.000 0.000 0.500
```

Calculated values
Formation energy without anion corrections, eV per atom: -0.11
Symmetry: P4/mmm

Entry 18:
Below is ReP at its PBEsol-relaxed geometry, with properties calculated at the SCAN level.

Structure (POSCAR):
```
ReP
1.0
-1.924 -2.215 0.127
0.950 -0.609 3.774
-2.828 4.367 -0.640
Re P
2 2
Direct
0.885 0.135 0.770
0.115 0.865 0.230
0.389 0.639 0.778
0.611 0.361 0.222
```

Calculated values
Formation energy, eV per atom: 0.17
Symmetry: Imma
E above lowest polymorph, meV per atom: 452.5

Entry 19:
Below is NaZrAs3 at its PBEsol-relaxed geometry, with properties calculated at the SCAN level.

Structure (POSCAR):
```
NaZrAs3
1.0
4.772 0.000 0.000
0.000 4.772 0.000
0.000 0.000 4.772
As Zr Na
3 1 1
Direct
0.000 0.500 0.000
0.500 0.000 0.000
0.000 0.000 0.500
0.500 0.500 0.500
0.000 0.000 0.000
```

Calculated values
Formation energy, eV per atom: 0.85
Symmetry: Pm-3m

Entry 20:
Below is ScCd3Au at its PBEsol-relaxed geometry, with properties calculated at the SCAN level.

Structure (POSCAR):
```
ScCd3Au
1.0
-2.943 -3.422 2.308
-2.048 -1.251 -4.466
3.584 -3.524 -0.656
Cd Au Sc
3 1 1
Direct
0.000 0.000 0.500
0.500 0.000 0.000
0.000 0.500 0.000
0.000 0.000 0.000
0.500 0.500 0.500
```

Calculated values
Formation energy, eV per atom: 0.23
Symmetry: Pm-3m
E above lowest polymorph, meV per atom: 0.0